# 1
4
Lattice="3.315 -3.862 0.000 3.315 3.862 0.000 0.000 0.000 3.912" Properties=species:S:1:pos:R:3 comment="LaTaSb2 | the Alexandria database | GGA-PBE | relaxed" de_polymorph_ev_per_fu=1.20 formation_energy_uncorrected_ev_per_atom=-0.102 dos_at_fermi_per_ev_cell=4.0 space_group="Cmmm (65)" total_energy_ev_per_atom=-6.36 pbc="T T T"
La 0.000 0.000 0.000
Ta 3.315 0.000 0.000
Sb 1.657 1.931 1.956
Sb 1.657 -1.931 1.956



# 2
10
Lattice="5.013 0.000 0.000 0.000 5.013 0.000 0.000 0.000 12.991" Properties=species:S:1:pos:R:3 comment="K2LiSn7 | the Alexandria database | GGA-PBE | relaxed" delta_e_f_kj_per_mol_fu=-146 dos_at_fermi_per_ev_cell=4.5 space_group="P-4m2 (115)" total_energy_ev_per_atom=-3.36 pbc="T T T"
K 0.000 2.506 3.159
K 2.506 0.000 9.832
Li 2.506 2.506 0.000
Sn 0.000 0.000 0.000
Sn 0.000 0.000 6.496
Sn 0.000 2.506 8.244
Sn 0.000 2.506 11.318
Sn 2.506 0.000 1.673
Sn 2.506 0.000 4.747
Sn 2.506 2.506 6.496



# 3
10
Lattice="11.440 -2.078 0.000 11.440 2.078 0.000 -0.634 0.000 7.666" Properties=species:S:1:pos:R:3 comment="Tb2I2Cl | the Alexandria database | GGA-PBE | relaxed" de_polymorph_ev_per_fu=0.00 formation_energy_uncorrected_ev_per_atom=-1.263 dos_at_fermi_per_ev_cell=7.6 space_group="C2/m (12)" total_energy_ev_per_atom=-4.10 pbc="T T T"
Tb 3.820 0.000 2.571
Tb 7.098 0.000 0.625
Tb 15.147 0.000 7.041
Tb 18.425 0.000 5.095
I 1.754 0.000 5.593
I 8.973 0.000 6.206
I 13.272 0.000 1.461
I 20.491 0.000 2.074
Cl 6.476 0.000 3.319
Cl 15.770 0.000 4.347



# 4
16
Lattice="1.815 -6.324 0.000 1.815 6.324 0.000 0.000 0.000 12.147" Properties=species:S:1:pos:R:3 comment="NaTh2CrN4 | the Alexandria database | GGA-PBE | relaxed" formation_energy_uncorrected_ev_per_atom=-0.977 dos_at_fermi_per_ev_cell=4.4 space_group="Cmcm (63)" total_energy_ev_per_atom=-8.36 pbc="T T T"
Na 1.815 5.144 9.110
Na 1.815 -5.144 3.037
Th 1.815 1.667 6.656
Th 1.815 1.667 11.565
Th 1.815 -1.667 0.583
Th 1.815 -1.667 5.491
Cr 1.815 3.888 3.037
Cr 1.815 -3.888 9.110
N 0.000 0.000 0.000
N 0.000 0.000 6.074
N 1.815 3.174 1.291
N 1.815 3.174 4.782
N 1.815 1.659 9.110
N 1.815 -1.659 3.037
N 1.815 -3.174 7.365
N 1.815 -3.174 10.856



# 5
4
Lattice="0.000 3.270 3.270 3.270 0.000 3.270 3.270 3.270 0.000" Properties=species:S:1:pos:R:3 comment="HoScCoOs | the Alexandria database | GGA-PBE | relaxed" delta_e_f_kj_per_mol_fu=-91 dos_at_fermi_per_ev_cell=3.7 space_group="F-43m (216)" total_energy_ev_per_atom=-7.55 pbc="T T T"
Ho 0.000 0.000 0.000
Sc 3.270 3.270 3.270
Co 4.905 4.905 4.905
Os 1.635 1.635 1.635



# 6
10
Lattice="9.405 0.000 0.000 0.000 9.405 0.000 0.000 0.000 4.049" Properties=species:S:1:pos:R:3 comment="Ba2AlAg2 | the Alexandria database | GGA-PBE | relaxed" de_polymorph_ev_per_fu=1.66 delta_e_f_kj_per_mol_fu=50 dos_at_fermi_per_ev_cell=12.3 space_group="P4/mbm (127)" total_energy_ev_per_atom=-2.55 pbc="T T T"
Ba 1.675 3.027 0.000
Ba 3.027 7.730 0.000
Ba 6.378 1.675 0.000
Ba 7.730 6.378 0.000
Al 0.000 0.000 0.000
Al 4.703 4.703 0.000
Ag 1.042 5.745 2.025
Ag 3.661 1.042 2.025
Ag 5.745 8.363 2.025
Ag 8.363 3.661 2.025



# 7
4
Lattice="4.174 0.000 0.000 0.000 4.174 0.000 0.000 0.000 4.174" Properties=species:S:1:pos:R:3 comment="PaPd3 | the Alexandria database | GGA-PBE | relaxed" de_polymorph_ev_per_fu=0.45 delta_e_f_kj_per_mol_fu=-252 dos_at_fermi_per_ev_cell=6.4 space_group="Pm-3m (221)" total_energy_ev_per_atom=-6.92 pbc="T T T"
Pa 0.000 0.000 0.000
Pd 0.000 2.087 2.087
Pd 2.087 0.000 2.087
Pd 2.087 2.087 0.000



# 8
4
Lattice="1.406 0.812 7.888 -1.406 0.812 7.888 0.000 -1.624 7.888" Properties=species:S:1:pos:R:3 comment="FePRh2 | the Alexandria database | GGA-PBE | relaxed" delta_e_f_kj_per_mol_fu=-61 dos_at_fermi_per_ev_cell=4.2 space_group="R-3m (166)" total_energy_ev_per_atom=-7.30 pbc="T T T"
Fe 0.000 0.000 0.000
P 0.000 0.000 11.832
Rh 0.000 0.000 5.749
Rh 0.000 0.000 17.914



# 9
4
Lattice="3.489 0.000 0.000 0.000 3.489 0.000 0.000 0.000 7.242" Properties=species:S:1:pos:R:3 comment="LiCaSe2 | the Alexandria database | GGA-PBE | relaxed" formation_energy_uncorrected_ev_per_atom=-1.137 dos_at_fermi_per_ev_cell=2.0 space_group="P4/mmm (123)" total_energy_ev_per_atom=-3.86 pbc="T T T"
Li 0.000 0.000 0.000
Ca 0.000 0.000 3.621
Se 1.744 1.744 1.767
Se 1.744 1.744 5.475



# 10
8
Lattice="-3.618 3.618 3.516 3.618 -3.618 3.516 3.618 3.618 -3.516" Properties=species:S:1:pos:R:3 comment="PtSBr2 | the Alexandria database | GGA-PBE | relaxed" formation_energy_uncorrected_ev_per_atom=0.684 dos_at_fermi_per_ev_cell=5.0 space_group="I-42d (122)" total_energy_ev_per_atom=-2.69 pbc="T T T"
Pt 0.000 0.000 0.000
Pt 0.000 3.618 1.758
S 3.618 0.000 1.758
S 0.000 0.000 3.516
Br 5.427 1.542 -0.879
Br 1.542 1.809 0.879
Br -1.809 2.076 2.637
Br 2.076 1.809 4.396



# 11
15
Lattice="4.432 2.559 9.215 -4.432 2.559 9.215 0.000 -5.117 9.215" Properties=species:S:1:pos:R:3 comment="Cs3TbY3Te8 | the Alexandria database | GGA-PBE | relaxed" formation_energy_uncorrected_ev_per_atom=-1.339 dos_at_fermi_per_ev_cell=7.4 space_group="R-3m (166)" total_energy_ev_per_atom=-4.79 pbc="T T T"
Cs -2.216 -1.279 9.215
Cs -2.216 1.279 18.430
Cs 0.000 2.559 9.215
Tb 0.000 0.000 13.822
Y -4.432 0.000 13.822
Y -2.216 1.279 4.607
Y 2.216 1.279 4.607
Te -2.235 -1.290 15.583
Te 0.000 0.000 6.368
Te 0.000 -2.581 12.061
Te -2.235 1.290 12.061
Te 2.235 -1.290 15.583
Te 0.000 2.581 15.583
Te 0.000 0.000 21.277
Te 2.235 1.290 12.061



# 12
20
Lattice="6.944 0.000 0.000 0.000 10.863 0.000 0.000 0.000 10.836" Properties=species:S:1:pos:R:3 comment="BaCa3Pd | the Alexandria database | GGA-PBE | relaxed" de_polymorph_ev_per_fu=0.62 delta_e_f_kj_per_mol_fu=-90 dos_at_fermi_per_ev_cell=10.8 space_group="Pnma (62)" total_energy_ev_per_atom=-2.81 pbc="T T T"
Ba 0.000 0.000 0.000
Ba 0.000 5.431 0.000
Ba 3.472 0.000 5.418
Ba 3.472 5.431 5.418
Ca 0.028 1.000 3.603
Ca 0.028 4.432 3.603
Ca 0.988 2.716 7.043
Ca 2.484 8.147 1.625
Ca 3.444 6.431 9.021
Ca 3.444 9.863 9.021
Ca 3.500 1.000 1.815
Ca 3.500 4.432 1.815
Ca 4.461 2.716 9.210
Ca 5.956 8.147 3.792
Ca 6.917 6.431 7.233
Ca 6.917 9.863 7.233
Pd 1.220 8.147 9.594
Pd 2.252 2.716 4.177
Pd 4.693 8.147 6.659
Pd 5.724 2.716 1.241